Density functional theory data (PBEsol) for a relaxed Nd2SnS5 crystal.

```
Nd2SnS5
1.0
7.6974 0.0000 0.0000
0.0000 11.1072 0.0000
0.0000 0.0000 3.9415
Nd Sn S
4 2 10
direct
0.0692 0.1694 0.0000
0.4308 0.6694 0.0000
0.5692 0.3306 0.0000
0.9308 0.8306 0.0000
0.0000 0.5000 0.5000
0.5000 0.0000 0.5000
0.0000 0.0000 0.5000
0.1495 0.7046 0.5000
0.1920 0.4276 0.0000
0.3080 0.9276 0.0000
0.3505 0.2046 0.5000
0.5000 0.5000 0.5000
0.6495 0.7954 0.5000
0.6920 0.0724 0.0000
0.8080 0.5724 0.0000
0.8505 0.2954 0.5000
```

Calculated values
The density of states at the Fermi level comes out at 0.0754 states/eV per atom. Its total energy is -6.073 eV/atom.

Density functional theory data (PBEsol) for a relaxed Ti4H3Pd2 crystal.

```
Ti4H3Pd2
1.0
2.8028 0.0000 0.0000
0.0000 2.8028 0.0000
0.0000 0.0000 12.4756
Ti H Pd
4 3 2
direct
0.0000 0.0000 0.1597
0.0000 0.0000 0.8403
0.5000 0.5000 0.3270
0.5000 0.5000 0.6730
0.5000 0.5000 0.1765
0.5000 0.5000 0.5000
0.5000 0.5000 0.8235
0.0000 0.0000 0.5000
0.5000 0.5000 0.0000
```

Calculated values
The density of states at the Fermi level comes out at 0.7165 states/eV per atom. Its total energy is -6.535 eV/atom.

Density functional theory data (PBEsol) for a relaxed KZrBe3 crystal.

```
KZrBe3
1.0
4.4099 0.0000 0.0000
0.0000 4.4099 0.0000
0.0000 0.0000 4.4099
K Zr Be
1 1 3
direct
0.0000 0.0000 0.0000
0.5000 0.5000 0.5000
0.0000 0.0000 0.5000
0.0000 0.5000 0.0000
0.5000 0.0000 0.0000
```

Calculated values
The density of states at the Fermi level comes out at 0.4562 states/eV per atom. The calculation puts the energy relative to the elements at 1936 meV per atom. Its total energy is -2.509 eV/atom.